No. 1
# SiSb2TeS

An optimized crystal structure of SiSb2TeS (GGA-PBE, Alexandria via LeMat-Bulk).

It has space group P4/mmm (No. 123), with a = 5.249 Å, b = 5.249 Å, c = 5.068 Å, α = 90.00°, β = 90.00° and γ = 90.00°. The distinct sites, in fractional coordinates, are Si at (0.000, 0.000, 0.000), Sb at (0.000, 0.500, 0.000), Te at (0.000, 0.000, 0.500) and S at (0.500, 0.500, 0.500).

Its spin magnetization is 0.0 μB/f.u. Its polymorph energy (0 for the lowest one) is 0 meV/atom. The calculation puts the formation energy (no corrections) at 0.785 eV per atom.



No. 2
# Th4SiSb2S

An optimized crystal structure of Th4SiSb2S (GGA-PBE, Alexandria via LeMat-Bulk).

It has space group P2/m (No. 10), with a = 7.407 Å, b = 4.309 Å, c = 7.645 Å, α = 90.00°, β = 109.17° and γ = 90.00°. The distinct sites, in fractional coordinates, are Th at (0.239, 0.000, 0.218), Th at (0.259, 0.500, 0.780), Si at (0.500, 0.000, 0.000), Sb at (0.000, 0.000, 0.500), Sb at (0.500, 0.500, 0.500) and S at (0.000, 0.500, 0.000).

Its spin magnetization is 0.0 μB/f.u. The calculation puts the formation energy (no corrections) at -1.096 eV per atom.



No. 3
# Tl2SiSbS4

An optimized crystal structure of Tl2SiSbS4 (GGA-PBE, Alexandria via LeMat-Bulk).

It has space group Pmn2_1 (No. 31), with a = 8.764 Å, b = 8.851 Å, c = 6.030 Å, α = 90.00°, β = 90.00° and γ = 90.00°. The distinct sites, in fractional coordinates, are Tl at (0.239, 0.146, 0.000), Si at (0.000, 0.390, 0.416), Sb at (0.000, 0.677, 0.002), S at (0.000, 0.394, 0.054), S at (0.000, 0.625, 0.516) and S at (0.194, 0.260, 0.516).

Its spin magnetization is 0.0 μB/f.u. The calculation puts the formation energy (no corrections) at -0.353 eV per atom.



No. 4
# Sm2SbS

An optimized crystal structure of Sm2SbS (GGA-PBE, Alexandria via LeMat-Bulk).

It has space group P4/mmm (No. 123), with a = 4.272 Å, b = 4.272 Å, c = 6.048 Å, α = 90.00°, β = 90.00° and γ = 90.00°. The distinct sites, in fractional coordinates, are Sm at (0.000, 0.000, 0.000), Sm at (0.500, 0.500, 0.500), Sb at (0.000, 0.000, 0.500) and S at (0.500, 0.500, 0.000).

Its spin magnetization is 0.0 μB/f.u. Its polymorph energy (0 for the lowest one) is 53 meV/atom. The calculation puts the formation energy (no corrections) at -1.506 eV per atom.



No. 5
# SmSbS4

An optimized crystal structure of SmSbS4 (GGA-PBE, Alexandria via LeMat-Bulk).

It has space group C2/c (No. 15), with a = 8.327 Å, b = 13.488 Å, c = 6.265 Å, α = 90.00°, β = 126.12° and γ = 90.00°. The distinct sites, in fractional coordinates, are Sm at (0.000, 0.135, 0.250), Sb at (0.000, 0.409, 0.750), S at (0.169, 0.280, 0.672) and S at (0.244, 0.465, 0.239).

Its spin magnetization is 0.0 μB/f.u. The calculation puts the formation energy (no corrections) at -0.784 eV per atom.



No. 6
# Sm3Sb2S

An optimized crystal structure of Sm3Sb2S (GGA-PBE, Alexandria via LeMat-Bulk).

It has space group Immm (No. 71), with a = 4.314 Å, b = 6.167 Å, c = 12.962 Å, α = 90.00°, β = 90.00° and γ = 90.00°. The distinct sites, in fractional coordinates, are Sm at (0.000, 0.000, 0.000), Sm at (0.000, 0.000, 0.346), Sb at (0.000, 0.500, 0.329) and S at (0.000, 0.500, 0.000).

Its spin magnetization is 0.0 μB/f.u. Its polymorph energy (0 for the lowest one) is 6 meV/atom. The calculation puts the formation energy (no corrections) at -1.421 eV per atom.



No. 7
# Sm6SbS5

An optimized crystal structure of Sm6SbS5 (GGA-PBE, Alexandria via LeMat-Bulk).

It has space group C2/m (No. 12), with a = 7.077 Å, b = 12.268 Å, c = 7.117 Å, α = 90.00°, β = 109.46° and γ = 90.00°. The distinct sites, in fractional coordinates, are Sm at (0.237, 0.174, 0.235), Sm at (0.239, 0.000, 0.761), Sb at (0.000, 0.500, 0.500), S at (0.000, 0.000, 0.000), S at (0.000, 0.168, 0.500) and S at (0.000, 0.340, 0.000).

Its spin magnetization is 0.0 μB/f.u. The calculation puts the formation energy (no corrections) at -1.847 eV per atom.



No. 8
# Sm4Sb3S

An optimized crystal structure of Sm4Sb3S (GGA-PBE, Alexandria via LeMat-Bulk).

It has space group Cmmm (No. 65), with a = 8.741 Å, b = 12.352 Å, c = 4.371 Å, α = 90.00°, β = 90.00° and γ = 90.00°. The distinct sites, in fractional coordinates, are Sm at (0.000, 0.244, 0.000), Sm at (0.239, 0.000, 0.500), Sb at (0.000, 0.500, 0.000), Sb at (0.250, 0.250, 0.500) and S at (0.000, 0.000, 0.000).

Its spin magnetization is 0.0 μB/f.u. The calculation puts the formation energy (no corrections) at -1.356 eV per atom.



No. 9
# Sm2SbS

An optimized crystal structure of Sm2SbS (GGA-PBE, Alexandria via LeMat-Bulk).

It has space group Pmmn (No. 59, origin choice 2), with a = 3.804 Å, b = 5.482 Å, c = 10.433 Å, α = 90.00°, β = 90.00° and γ = 90.00°. The distinct sites, in fractional coordinates, are Sm at (0.250, 0.250, 0.081), Sm at (0.250, 0.250, 0.682), Sb at (0.250, 0.250, 0.377) and S at (0.250, 0.750, 0.114).

Its spin magnetization is 0.0 μB/f.u. Its polymorph energy (0 for the lowest one) is 207 meV/atom. The calculation puts the formation energy (no corrections) at -1.353 eV per atom.



No. 10
# Sm5SbS4

An optimized crystal structure of Sm5SbS4 (GGA-PBE, Alexandria via LeMat-Bulk).

It has space group C2/m (No. 12), with a = 13.634 Å, b = 4.094 Å, c = 10.075 Å, α = 90.00°, β = 119.44° and γ = 90.00°. The distinct sites, in fractional coordinates, are Sm at (0.000, 0.000, 0.000), Sm at (0.108, 0.500, 0.388), Sm at (0.206, 0.000, 0.815), Sb at (0.000, 0.000, 0.500), S at (0.095, 0.500, 0.897) and S at (0.204, 0.000, 0.293).

Its spin magnetization is 0.0 μB/f.u. The calculation puts the formation energy (no corrections) at -1.820 eV per atom.



No. 11
# Sm8SbS6

An optimized crystal structure of Sm8SbS6 (GGA-PBE, Alexandria via LeMat-Bulk).

It has space group P-3 (No. 147), with a = 10.3915 Å, b = 10.3915 Å, c = 4.0687 Å, α = 90.00°, β = 90.00° and γ = 120.00°. The distinct sites, in fractional coordinates, are Sm at (0.0346, 0.6987, 0.2546), Sm at (0.3333, 0.6667, 0.7482), Sb at (0.0000, 0.0000, 0.5000) and S at (0.1355, 0.4827, 0.2484).

Its spin magnetization is 0.0 μB/f.u. The calculation puts the formation energy (no corrections) at -1.598 eV per atom.



No. 12
# Sm3SbS6

An optimized crystal structure of Sm3SbS6 (GGA-PBE, Alexandria via LeMat-Bulk).

It has space group Cmc2_1 (No. 36), with a = 10.818 Å, b = 13.598 Å, c = 6.910 Å, α = 90.00°, β = 90.00° and γ = 90.00°. The distinct sites, in fractional coordinates, are Sm at (0.000, 0.097, 0.000), Sm at (0.185, 0.399, 0.907), Sb at (0.000, 0.323, 0.389), S at (0.000, 0.269, 0.765), S at (0.000, 0.489, 0.147), S at (0.165, 0.028, 0.706) and S at (0.165, 0.236, 0.197).

Its spin magnetization is 0.0 μB/f.u. The calculation puts the formation energy (no corrections) at -1.577 eV per atom.



No. 13
# Sm2SbS4

An optimized crystal structure of Sm2SbS4 (GGA-PBE, Alexandria via LeMat-Bulk).

It has space group C2/m (No. 12), with a = 15.174 Å, b = 3.961 Å, c = 7.141 Å, α = 90.00°, β = 114.82° and γ = 90.00°. The distinct sites, in fractional coordinates, are Sm at (0.231, 0.000, 0.235), Sb at (0.000, 0.500, 0.500), S at (0.132, 0.500, 0.339) and S at (0.145, 0.000, 0.805).

Its spin magnetization is 0.0 μB/f.u. The calculation puts the formation energy (no corrections) at -1.338 eV per atom.



No. 14
# Sm2SbS

An optimized crystal structure of Sm2SbS (GGA-PBE, Alexandria via LeMat-Bulk).

It has space group R3m (No. 160, hexagonal axes), with a = 4.1774 Å, b = 4.1774 Å, c = 21.7052 Å, α = 90.00°, β = 90.00° and γ = 120.00°. The distinct sites, in fractional coordinates, are Sm at (0.0000, 0.0000, 0.0000), Sm at (0.0000, 0.0000, 0.1859), Sb at (0.0000, 0.0000, 0.7595) and S at (0.0000, 0.0000, 0.5897).

Its spin magnetization is 0.0 μB/f.u. Its polymorph energy (0 for the lowest one) is 68 meV/atom. The calculation puts the formation energy (no corrections) at -1.491 eV per atom.



No. 15
# Sm6Sb5S

An optimized crystal structure of Sm6Sb5S (GGA-PBE, Alexandria via LeMat-Bulk).

It has space group C2/m (No. 12), with a = 7.635 Å, b = 13.192 Å, c = 7.625 Å, α = 90.00°, β = 109.49° and γ = 90.00°. The distinct sites, in fractional coordinates, are Sm at (0.240, 0.000, 0.251), Sm at (0.242, 0.161, 0.742), Sb at (0.000, 0.171, 0.000), Sb at (0.000, 0.334, 0.500), Sb at (0.000, 0.500, 0.000) and S at (0.000, 0.000, 0.500).

Its spin magnetization is 0.0 μB/f.u. The calculation puts the formation energy (no corrections) at -1.302 eV per atom.



No. 16
# Sm2SbS

An optimized crystal structure of Sm2SbS (GGA-PBE, Alexandria via LeMat-Bulk).

It has space group R-3m (No. 166, hexagonal axes), with a = 4.2394 Å, b = 4.2394 Å, c = 20.8724 Å, α = 90.00°, β = 90.00° and γ = 120.00°. The distinct sites, in fractional coordinates, are Sm at (0.0000, 0.0000, 0.2420), Sb at (0.0000, 0.0000, 0.0000) and S at (0.0000, 0.0000, 0.5000).

Its spin magnetization is 0.0 μB/f.u. Its polymorph energy (0 for the lowest one) is 0 meV/atom. The calculation puts the formation energy (no corrections) at -1.559 eV per atom.



No. 17
# Sm3Sb2S

An optimized crystal structure of Sm3Sb2S (GGA-PBE, Alexandria via LeMat-Bulk).

It has space group Fddd (No. 70, origin choice 2), with a = 8.657 Å, b = 12.258 Å, c = 25.922 Å, α = 90.00°, β = 90.00° and γ = 90.00°. The distinct sites, in fractional coordinates, are Sm at (0.107, 0.375, 0.375), Sm at (0.117, 0.369, 0.211), Sb at (0.125, 0.125, 0.377), Sb at (0.125, 0.125, 0.544) and S at (0.125, 0.125, 0.042).

Its spin magnetization is 0.0 μB/f.u. Its polymorph energy (0 for the lowest one) is 0 meV/atom. The calculation puts the formation energy (no corrections) at -1.427 eV per atom.



No. 18
# Sm6SbS4

An optimized crystal structure of Sm6SbS4 (GGA-PBE, Alexandria via LeMat-Bulk).

It has space group Cmcm (No. 63), with a = 4.100 Å, b = 13.192 Å, c = 20.504 Å, α = 90.00°, β = 90.00° and γ = 90.00°. The distinct sites, in fractional coordinates, are Sm at (0.000, 0.000, 0.000), Sm at (0.000, 0.159, 0.250), Sm at (0.000, 0.272, 0.587), Sm at (0.000, 0.458, 0.158), Sb at (0.000, 0.163, 0.750), S at (0.000, 0.093, 0.123) and S at (0.000, 0.361, 0.038).

Its spin magnetization is 0.0 μB/f.u. The calculation puts the formation energy (no corrections) at -1.692 eV per atom.



No. 19
# Sm4SbS2

An optimized crystal structure of Sm4SbS2 (GGA-PBE, Alexandria via LeMat-Bulk).

It has space group Cmcm (No. 63), with a = 4.152 Å, b = 13.264 Å, c = 13.593 Å, α = 90.00°, β = 90.00° and γ = 90.00°. The distinct sites, in fractional coordinates, are Sm at (0.000, 0.000, 0.000), Sm at (0.000, 0.265, 0.115), Sm at (0.000, 0.437, 0.750), Sb at (0.000, 0.111, 0.750) and S at (0.000, 0.367, 0.560).

Its spin magnetization is 0.0 μB/f.u. The calculation puts the formation energy (no corrections) at -1.506 eV per atom.



No. 20
# SmSb2S6

An optimized crystal structure of SmSb2S6 (GGA-PBE, Alexandria via LeMat-Bulk).

It has space group C2/m (No. 12), with a = 13.021 Å, b = 4.602 Å, c = 9.437 Å, α = 90.00°, β = 125.07° and γ = 90.00°. The distinct sites, in fractional coordinates, are Sm at (0.000, 0.000, 0.000), Sb at (0.179, 0.000, 0.677), S at (0.005, 0.000, 0.321), S at (0.143, 0.500, 0.019) and S at (0.249, 0.500, 0.646).

Its spin magnetization is 0.0 μB/f.u. The calculation puts the formation energy (no corrections) at -0.499 eV per atom.